VASP calculation (GGA-PBE) on an optimized crystal structure of BaSiTc2.

Structure (POSCAR):
```
BaSiTc2
1.0
4.862 0.000 0.000
0.000 4.862 0.000
2.431 2.431 8.642
Ba Tc Si
2 4 2
Direct
0.000 0.000 0.000
0.750 0.250 0.500
0.375 0.625 0.250
0.875 0.625 0.750
0.375 0.125 0.250
0.375 0.625 0.750
0.500 0.500 0.000
0.250 0.750 0.500
```

## Properties
Formation energy (no corrections): 0.457 eV per atom

=====

VASP calculation (GGA-PBE) on an optimized crystal structure of LiHCl.

Structure (POSCAR):
```
LiHCl
1.0
3.699 0.026 0.040
-1.294 3.650 -0.012
-1.297 -1.516 3.321
Li H Cl
1 1 1
Direct
0.027 0.455 0.411
0.521 0.336 0.517
0.020 0.840 0.017
```

## Properties
Energy above the lowest structure with this stoichiometry: 478 meV/atom

=====

VASP calculation (GGA-PBE) on an optimized crystal structure of CrN2.

Structure (POSCAR):
```
CrN2
1.0
4.766 0.000 0.000
0.000 4.766 0.000
0.000 0.000 4.766
N Cr
8 4
Direct
0.418 0.418 0.418
0.082 0.582 0.918
0.418 0.082 0.918
0.082 0.918 0.418
0.918 0.418 0.082
0.582 0.582 0.582
0.918 0.082 0.582
0.582 0.918 0.082
0.000 0.500 0.500
0.500 0.000 0.500
0.500 0.500 0.000
0.000 0.000 0.000
```

## Properties
Formation energy (no corrections): 0.076 eV per atom

=====

VASP calculation (GGA-PBE) on an optimized crystal structure of Nb2I4Br.

Structure (POSCAR):
```
Nb2I4Br
1.0
6.728 2.642 -2.189
-1.295 6.926 -2.720
-0.792 -1.530 10.922
Nb I Br
4 8 2
Direct
0.280 0.350 0.872
0.478 0.408 0.128
0.556 0.915 0.352
0.563 0.205 0.648
0.639 0.113 0.892
0.863 0.464 0.745
0.316 0.279 0.407
0.381 0.597 0.789
0.807 0.592 0.211
0.719 0.118 0.255
0.221 0.747 0.108
0.871 0.908 0.593
0.183 0.183 0.000
0.371 0.872 0.500
```

## Properties
Formation energy (no corrections): -0.357 eV per atom

=====

What is the formula in the fourth record?
Nb2I4Br